Pm4ZnPb | PBE-GGA | relaxed

## Properties
**Total magnetization**: 0.0 Bohr magnetons per cell

The structure in CIF format:
```
data_Pm4ZnPb
_chemical_formula_sum 'Pm4 Zn1 Pb1'
_symmetry_space_group_name_H-M 'P 4/m m m'
_symmetry_Int_Tables_number 123
_symmetry_space_group_name_Hall '-P 4 2'
_cell_length_a 5.1833
_cell_length_b 5.1833
_cell_length_c 7.3980
_cell_angle_alpha 90.00
_cell_angle_beta 90.00
_cell_angle_gamma 90.00
loop_
_atom_site_label
_atom_site_type_symbol
_atom_site_fract_x
_atom_site_fract_y
_atom_site_fract_z
_atom_site_occupancy
Pm1 Pm 0.0000 0.5000 0.2286 1
Zn1 Zn 0.0000 0.0000 0.0000 1
Pb1 Pb 0.5000 0.5000 0.5000 1
```


PmZnPb | PBE-GGA | relaxed

## Properties
**Excess energy over the best structure of this formula in the dataset**: 82 meV per atom
**Total magnetization**: 0.0 Bohr magnetons per cell

The structure in CIF format:
```
data_PmZnPb
_chemical_formula_sum 'Pm4 Zn4 Pb4'
_symmetry_space_group_name_H-M 'F -4 3 m'
_symmetry_Int_Tables_number 216
_symmetry_space_group_name_Hall 'F -4 2 3'
_cell_length_a 6.8601
_cell_length_b 6.8601
_cell_length_c 6.8601
_cell_angle_alpha 90.00
_cell_angle_beta 90.00
_cell_angle_gamma 90.00
loop_
_atom_site_label
_atom_site_type_symbol
_atom_site_fract_x
_atom_site_fract_y
_atom_site_fract_z
_atom_site_occupancy
Pm1 Pm 0.0000 0.0000 0.0000 1
Zn1 Zn 0.2500 0.2500 0.2500 1
Pb1 Pb 0.0000 0.0000 0.5000 1
```


PmZnPb | PBE-GGA | relaxed

## Properties
**Excess energy over the best structure of this formula in the dataset**: 0 meV per atom
**Total magnetization**: 0.0 Bohr magnetons per cell

The structure in CIF format:
```
data_PmZnPb
_chemical_formula_sum 'Pm1 Zn1 Pb1'
_symmetry_space_group_name_H-M 'P 3 m 1'
_symmetry_Int_Tables_number 156
_symmetry_space_group_name_Hall 'P 3 -2"'
_cell_length_a 4.5915
_cell_length_b 4.5915
_cell_length_c 4.2806
_cell_angle_alpha 90.00
_cell_angle_beta 90.00
_cell_angle_gamma 120.00
loop_
_atom_site_label
_atom_site_type_symbol
_atom_site_fract_x
_atom_site_fract_y
_atom_site_fract_z
_atom_site_occupancy
Pm1 Pm 0.0000 0.0000 0.0000 1
Zn1 Zn 0.6667 0.3333 0.3728 1
Pb1 Pb 0.3333 0.6667 0.5423 1
```


PmZnPb | PBE-GGA | relaxed

## Properties
**Excess energy over the best structure of this formula in the dataset**: 162 meV per atom
**Total magnetization**: 0.0 Bohr magnetons per cell

The structure in CIF format:
```
data_PmZnPb
_chemical_formula_sum 'Pm4 Zn4 Pb4'
_symmetry_space_group_name_H-M 'C 1 2/m 1'
_symmetry_Int_Tables_number 12
_symmetry_space_group_name_Hall '-C 2y'
_cell_length_a 6.3104
_cell_length_b 4.7865
_cell_length_c 10.8715
_cell_angle_alpha 90.00
_cell_angle_beta 101.91
_cell_angle_gamma 90.00
loop_
_atom_site_label
_atom_site_type_symbol
_atom_site_fract_x
_atom_site_fract_y
_atom_site_fract_z
_atom_site_occupancy
Pm1 Pm 0.1464 0.0000 0.2111 1
Zn1 Zn 0.1972 0.5000 0.0373 1
Pb1 Pb 0.2192 0.5000 0.4078 1
```


Pm5ZnPb2 | PBE-GGA | relaxed

## Properties
**Total magnetization**: 0.0 Bohr magnetons per cell

The structure in CIF format:
```
data_Pm5ZnPb2
_chemical_formula_sum 'Pm15 Zn3 Pb6'
_symmetry_space_group_name_H-M 'R -3 m'
_symmetry_Int_Tables_number 166
_symmetry_space_group_name_Hall '-R 3 2"'
_cell_length_a 5.3442
_cell_length_b 5.3442
_cell_length_c 29.0301
_cell_angle_alpha 90.00
_cell_angle_beta 90.00
_cell_angle_gamma 120.00
loop_
_atom_site_label
_atom_site_type_symbol
_atom_site_fract_x
_atom_site_fract_y
_atom_site_fract_z
_atom_site_occupancy
Pm1 Pm 0.0000 0.0000 0.0000 1
Pm2 Pm 0.0000 0.0000 0.1306 1
Pm3 Pm 0.0000 0.0000 0.2606 1
Zn1 Zn 0.0000 0.0000 0.5000 1
Pb1 Pb 0.0000 0.0000 0.3862 1
```


Pm5Zn3Pb12 | PBE-GGA | relaxed

## Properties
**Total magnetization**: 0.0 Bohr magnetons per cell

The structure in CIF format:
```
data_Pm5Zn3Pb12
_chemical_formula_sum 'Pm40 Zn24 Pb96'
_symmetry_space_group_name_H-M 'I a -3 d'
_symmetry_Int_Tables_number 230
_symmetry_space_group_name_Hall '-I 4bd 2c 3'
_cell_length_a 17.8732
_cell_length_b 17.8732
_cell_length_c 17.8732
_cell_angle_alpha 90.00
_cell_angle_beta 90.00
_cell_angle_gamma 90.00
loop_
_atom_site_label
_atom_site_type_symbol
_atom_site_fract_x
_atom_site_fract_y
_atom_site_fract_z
_atom_site_occupancy
Pm1 Pm 0.0000 0.0000 0.0000 1
Pm2 Pm 0.0000 0.2500 0.3750 1
Zn1 Zn 0.0000 0.2500 0.1250 1
Pb1 Pb 0.0172 0.0973 0.6487 1
```


Pm2ZnPb | PBE-GGA | relaxed

## Properties
**Excess energy over the best structure of this formula in the dataset**: 6 meV per atom
**Total magnetization**: 0.0 Bohr magnetons per cell

The structure in CIF format:
```
data_Pm2ZnPb
_chemical_formula_sum 'Pm8 Zn4 Pb4'
_symmetry_space_group_name_H-M 'F m -3 m'
_symmetry_Int_Tables_number 225
_symmetry_space_group_name_Hall '-F 4 2 3'
_cell_length_a 7.5907
_cell_length_b 7.5907
_cell_length_c 7.5907
_cell_angle_alpha 90.00
_cell_angle_beta 90.00
_cell_angle_gamma 90.00
loop_
_atom_site_label
_atom_site_type_symbol
_atom_site_fract_x
_atom_site_fract_y
_atom_site_fract_z
_atom_site_occupancy
Pm1 Pm 0.2500 0.2500 0.2500 1
Zn1 Zn 0.0000 0.0000 0.0000 1
Pb1 Pb 0.0000 0.0000 0.5000 1
```


Pm4Zn3Pb | PBE-GGA | relaxed

## Properties
**Excess energy over the best structure of this formula in the dataset**: 55 meV per atom
**Total magnetization**: 0.5 Bohr magnetons per cell

The structure in CIF format:
```
data_Pm4Zn3Pb
_chemical_formula_sum 'Pm4 Zn3 Pb1'
_symmetry_space_group_name_H-M 'P m m 2'
_symmetry_Int_Tables_number 25
_symmetry_space_group_name_Hall 'P 2 -2'
_cell_length_a 3.9254
_cell_length_b 4.6173
_cell_length_c 11.8513
_cell_angle_alpha 90.00
_cell_angle_beta 90.00
_cell_angle_gamma 90.00
loop_
_atom_site_label
_atom_site_type_symbol
_atom_site_fract_x
_atom_site_fract_y
_atom_site_fract_z
_atom_site_occupancy
Pm1 Pm 0.0000 0.0000 0.0000 1
Pm2 Pm 0.0000 0.5000 0.2815 1
Pm3 Pm 0.5000 0.0000 0.4779 1
Pm4 Pm 0.5000 0.5000 0.7972 1
Zn1 Zn 0.0000 0.5000 0.5538 1
Zn2 Zn 0.5000 0.0000 0.2063 1
Zn3 Zn 0.5000 0.5000 0.0694 1
Pb1 Pb 0.0000 0.0000 0.7091 1
```


PmZnPb | PBE-GGA | relaxed

## Properties
**Excess energy over the best structure of this formula in the dataset**: 137 meV per atom
**Total magnetization**: 0.0 Bohr magnetons per cell

The structure in CIF format:
```
data_PmZnPb
_chemical_formula_sum 'Pm2 Zn2 Pb2'
_symmetry_space_group_name_H-M 'I 4 m m'
_symmetry_Int_Tables_number 107
_symmetry_space_group_name_Hall 'I 4 -2'
_cell_length_a 3.6097
_cell_length_b 3.6097
_cell_length_c 11.9232
_cell_angle_alpha 90.00
_cell_angle_beta 90.00
_cell_angle_gamma 90.00
loop_
_atom_site_label
_atom_site_type_symbol
_atom_site_fract_x
_atom_site_fract_y
_atom_site_fract_z
_atom_site_occupancy
Pm1 Pm 0.0000 0.0000 0.0000 1
Zn1 Zn 0.0000 0.0000 0.3477 1
Pb1 Pb 0.0000 0.0000 0.7030 1
```


Pm6ZnPb3 | PBE-GGA | relaxed

## Properties
**Total magnetization**: 0.0 Bohr magnetons per cell

The structure in CIF format:
```
data_Pm6ZnPb3
_chemical_formula_sum 'Pm24 Zn4 Pb12'
_symmetry_space_group_name_H-M 'F m -3 m'
_symmetry_Int_Tables_number 225
_symmetry_space_group_name_Hall '-F 4 2 3'
_cell_length_a 11.3830
_cell_length_b 11.3830
_cell_length_c 11.3830
_cell_angle_alpha 90.00
_cell_angle_beta 90.00
_cell_angle_gamma 90.00
loop_
_atom_site_label
_atom_site_type_symbol
_atom_site_fract_x
_atom_site_fract_y
_atom_site_fract_z
_atom_site_occupancy
Pm1 Pm 0.0000 0.0000 0.2404 1
Zn1 Zn 0.0000 0.0000 0.0000 1
Pb1 Pb 0.0000 0.0000 0.5000 1
Pb2 Pb 0.2500 0.2500 0.2500 1
```


Pm2ZnPb | PBE-GGA | relaxed

## Properties
**Excess energy over the best structure of this formula in the dataset**: 0 meV per atom
**Total magnetization**: 0.0 Bohr magnetons per cell

The structure in CIF format:
```
data_Pm2ZnPb
_chemical_formula_sum 'Pm2 Zn1 Pb1'
_symmetry_space_group_name_H-M 'P 4/m m m'
_symmetry_Int_Tables_number 123
_symmetry_space_group_name_Hall '-P 4 2'
_cell_length_a 3.7637
_cell_length_b 3.7637
_cell_length_c 7.6660
_cell_angle_alpha 90.00
_cell_angle_beta 90.00
_cell_angle_gamma 90.00
loop_
_atom_site_label
_atom_site_type_symbol
_atom_site_fract_x
_atom_site_fract_y
_atom_site_fract_z
_atom_site_occupancy
Pm1 Pm 0.0000 0.0000 0.2294 1
Zn1 Zn 0.5000 0.5000 0.0000 1
Pb1 Pb 0.5000 0.5000 0.5000 1
```


PmZnPb2 | PBE-GGA | relaxed

## Properties
**Total magnetization**: 0.0 Bohr magnetons per cell

The structure in CIF format:
```
data_PmZnPb2
_chemical_formula_sum 'Pm3 Zn3 Pb6'
_symmetry_space_group_name_H-M 'R -3 m'
_symmetry_Int_Tables_number 166
_symmetry_space_group_name_Hall '-R 3 2"'
_cell_length_a 4.8961
_cell_length_b 4.8961
_cell_length_c 15.8960
_cell_angle_alpha 90.00
_cell_angle_beta 90.00
_cell_angle_gamma 120.00
loop_
_atom_site_label
_atom_site_type_symbol
_atom_site_fract_x
_atom_site_fract_y
_atom_site_fract_z
_atom_site_occupancy
Pm1 Pm 0.0000 0.0000 0.0000 1
Zn1 Zn 0.0000 0.0000 0.5000 1
Pb1 Pb 0.0000 0.0000 0.2300 1
```


no.,calculated formation energy (eV/atom)
1,-0.105
2,-0.300
3,-0.383
4,-0.221
5,-0.295
6,0.179
7,-0.405
8,-0.308
9,-0.246
10,0.004
11,-0.411
12,-0.107